The following is a DFT calculation (PBE) of an optimized crystal structure of LiYHgS3.

Calculated values
Total DFT energy (no corrections), eV/atom: -4.725
Space-group type: No. 62

a = 10.5677 Å, b = 3.9995 Å, c = 12.5923 Å
α = 90.00°, β = 90.00°, γ = 90.00°
Fractional coordinates of all 24 atoms:
Li1 0.1451 0.2500 0.0803
Li2 0.3549 0.7500 0.5803
Li3 0.6451 0.2500 0.4197
Li4 0.8549 0.7500 0.9197
Y1 0.1233 0.2500 0.7599
Y2 0.3767 0.7500 0.2599
Y3 0.6233 0.2500 0.7401
Y4 0.8767 0.7500 0.2401
Hg1 0.1245 0.2500 0.3942
Hg2 0.3755 0.7500 0.8942
Hg3 0.6245 0.2500 0.1058
Hg4 0.8755 0.7500 0.6058
S1 0.1032 0.7500 0.6096
S2 0.1286 0.7500 0.2037
S3 0.1482 0.7500 0.9150
S4 0.3518 0.2500 0.4150
S5 0.3714 0.2500 0.7037
S6 0.3968 0.2500 0.1096
S7 0.6032 0.7500 0.8904
S8 0.6286 0.7500 0.2963
S9 0.6482 0.7500 0.5850
S10 0.8518 0.2500 0.0850
S11 0.8714 0.2500 0.7963
S12 0.8968 0.2500 0.3904